Run a
## LiSe2Br (GGA-PBE)

Data for a geometry-optimized LiSe2Br structure.

Unit cell a=3.4481 b=3.4481 c=7.9562 alpha=90.00 beta=90.00 gamma=90.00
Space group P4/mmm (No. 123)
Inequivalent atoms, fractional coordinates:
1 Li 0.0000 0.0000 0.0000
2 Se 0.5000 0.5000 0.1460
3 Br 0.0000 0.0000 0.5000

Values from the calculation:
total magnetic moment	0.00	μB/f.u.
DOS(E_F)	1.76	states/eV/cell

Run b
## LiSe2Br (GGA-PBE)

Data for a geometry-optimized LiSe2Br structure.

Unit cell a=7.7926 b=4.0235 c=8.6865 alpha=90.00 beta=102.42 gamma=90.00
Space group Cm (No. 8)
Inequivalent atoms, fractional coordinates:
1 Li 0.0000 0.0000 0.0000
2 Se 0.2085 0.5000 0.4501
3 Se 0.4743 0.0000 0.5638
4 Br 0.3183 0.0000 0.0001

Values from the calculation:
total magnetic moment	0.00	μB/f.u.
DOS(E_F)	0.90	states/eV/cell

run b is favored, and the nearest alternative lies 0.277 eV/atom above it.

Run a
## LiSe2Br (GGA-PBE)

Data for a geometry-optimized LiSe2Br structure.

Unit cell a=2.8301 b=2.8301 c=12.5406 alpha=90.00 beta=90.00 gamma=90.00
Space group P4/mmm (No. 123)
Inequivalent atoms, fractional coordinates:
1 Li 0.0000 0.0000 0.0000
2 Se 0.5000 0.5000 0.1589
3 Br 0.0000 0.0000 0.5000

Values from the calculation:
total magnetic moment	0.00	μB/f.u.
DOS(E_F)	1.35	states/eV/cell

Run b
## LiSe2Br (GGA-PBE)

Data for a geometry-optimized LiSe2Br structure.

Unit cell a=7.0792 b=7.0792 c=7.0792 alpha=90.00 beta=90.00 gamma=90.00
Space group F-43m (No. 216)
Inequivalent atoms, fractional coordinates:
1 Li 0.0000 0.0000 0.0000
2 Se 0.0000 0.0000 0.5000
3 Se 0.2500 0.2500 0.7500
4 Br 0.2500 0.2500 0.2500

Values from the calculation:
total magnetic moment	0.00	μB/f.u.
DOS(E_F)	16.41	states/eV/cell

Run c
## LiSe2Br (GGA-PBE)

Data for a geometry-optimized LiSe2Br structure.

Unit cell a=4.7984 b=4.9484 c=7.3667 alpha=90.00 beta=90.00 gamma=90.00
Space group Pmmm (No. 47)
Inequivalent atoms, fractional coordinates:
1 Li 0.0000 0.0000 0.0000
2 Se 0.2362 0.5000 0.5000
3 Br 0.5000 0.0000 0.0000

Values from the calculation:
total magnetic moment	0.00	μB/f.u.
DOS(E_F)	3.44	states/eV/cell

Run d
## LiSe2Br (GGA-PBE)

Data for a geometry-optimized LiSe2Br structure.

Unit cell a=3.7587 b=4.8937 c=13.1868 alpha=90.00 beta=90.00 gamma=90.00
Space group Imm2 (No. 44)
Inequivalent atoms, fractional coordinates:
1 Li 0.0000 0.0000 0.0000
2 Se 0.0000 0.0000 0.3004
3 Se 0.0000 0.5000 0.9254
4 Br 0.0000 0.5000 0.6206

Values from the calculation:
total magnetic moment	0.00	μB/f.u.
DOS(E_F)	1.31	states/eV/cell

run d is favored, and the nearest alternative lies 0.197 eV/atom above it.

Run a
## Li2SeBr (GGA-PBE)

Data for a geometry-optimized Li2SeBr structure.

Unit cell a=7.0900 b=7.0900 c=7.0900 alpha=90.00 beta=90.00 gamma=90.00
Space group F-43m (No. 216)
Inequivalent atoms, fractional coordinates:
1 Li 0.0000 0.0000 0.0000
2 Li 0.2500 0.2500 0.2500
3 Se 0.0000 0.0000 0.5000
4 Br 0.2500 0.2500 0.7500

Values from the calculation:
total magnetic moment	0.00	μB/f.u.
DOS(E_F)	16.99	states/eV/cell

Run b
## Li2SeBr (GGA-PBE)

Data for a geometry-optimized Li2SeBr structure.

Unit cell a=4.0907 b=4.0907 c=17.4734 alpha=90.00 beta=90.00 gamma=120.00
Space group R3m (No. 160, hexagonal axes)
Inequivalent atoms, fractional coordinates:
1 Li 0.0000 0.0000 0.0000
2 Li 0.0000 0.0000 0.2029
3 Se 0.0000 0.0000 0.6017
4 Br 0.0000 0.0000 0.7727

Values from the calculation:
total magnetic moment	0.00	μB/f.u.
DOS(E_F)	6.09	states/eV/cell

run b is favored, and the nearest alternative lies 0.581 eV/atom above it.

Run a
## Li2SeBr (GGA-PBE)

Data for a geometry-optimized Li2SeBr structure.

Unit cell a=3.1102 b=4.4450 c=5.5963 alpha=90.00 beta=90.00 gamma=90.00
Space group Pmmm (No. 47)
Inequivalent atoms, fractional coordinates:
1 Li 0.0000 0.0000 0.0000
2 Li 0.5000 0.5000 0.5000
3 Se 0.0000 0.0000 0.5000
4 Br 0.5000 0.5000 0.0000

Values from the calculation:
total magnetic moment	0.00	μB/f.u.
DOS(E_F)	2.39	states/eV/cell

Run b
## Li2SeBr (GGA-PBE)

Data for a geometry-optimized Li2SeBr structure.

Unit cell a=3.3010 b=3.3010 c=7.2406 alpha=90.00 beta=90.00 gamma=90.00
Space group P4/mmm (No. 123)
Inequivalent atoms, fractional coordinates:
1 Li 0.0000 0.0000 0.2382
2 Se 0.5000 0.5000 0.5000
3 Br 0.5000 0.5000 0.0000

Values from the calculation:
total magnetic moment	0.00	μB/f.u.
DOS(E_F)	1.22	states/eV/cell

run a is favored, and the nearest alternative lies 0.087 eV/atom above it.

Run a
## Li2SeBr (GGA-PBE)

Data for a geometry-optimized Li2SeBr structure.

Unit cell a=5.1360 b=5.1360 c=5.9839 alpha=90.00 beta=90.00 gamma=90.00
Space group I4/mmm (No. 139)
Inequivalent atoms, fractional coordinates:
1 Li 0.0000 0.5000 0.2500
2 Se 0.0000 0.0000 0.0000
3 Br 0.0000 0.0000 0.5000

Values from the calculation:
total magnetic moment	0.00	μB/f.u.
DOS(E_F)	0.54	states/eV/cell

Run b
## Li2SeBr (GGA-PBE)

Data for a geometry-optimized Li2SeBr structure.

Unit cell a=14.3591 b=3.1191 c=4.1568 alpha=90.00 beta=90.10 gamma=90.00
Space group Cm (No. 8)
Inequivalent atoms, fractional coordinates:
1 Li 0.0000 0.0000 0.0000
2 Li 0.1446 0.5000 0.5012
3 Se 0.1828 0.0000 0.0014
4 Br 0.4595 0.0000 0.4997

Values from the calculation:
total magnetic moment	0.00	μB/f.u.
DOS(E_F)	2.42	states/eV/cell

run b is favored, and the nearest alternative lies 0.149 eV/atom above it.

Run a
## Li2SeBr (GGA-PBE)

Data for a geometry-optimized Li2SeBr structure.

Unit cell a=3.3656 b=3.4047 c=14.1893 alpha=90.00 beta=90.00 gamma=90.00
Space group Imm2 (No. 44)
Inequivalent atoms, fractional coordinates:
1 Li 0.0000 0.0000 0.0000
2 Li 0.0000 0.5000 0.2348
3 Se 0.0000 0.5000 0.8405
4 Br 0.0000 0.0000 0.5873

Values from the calculation:
total magnetic moment	0.00	μB/f.u.
DOS(E_F)	1.44	states/eV/cell

Run b
## Li2SeBr (GGA-PBE)

Data for a geometry-optimized Li2SeBr structure.

Unit cell a=3.4717 b=3.4717 c=7.1884 alpha=90.00 beta=90.00 gamma=90.00
Space group P4mm (No. 99)
Inequivalent atoms, fractional coordinates:
1 Li 0.0000 0.0000 0.0000
2 Li 0.5000 0.5000 0.4686
3 Se 0.0000 0.0000 0.6362
4 Br 0.5000 0.5000 0.1191

Values from the calculation:
total magnetic moment	0.00	μB/f.u.
DOS(E_F)	1.16	states/eV/cell

run b is favored, and the nearest alternative lies 0.025 eV/atom above it.

Run a
## LiSe3Br (GGA-PBE)

Data for a geometry-optimized LiSe3Br structure.

Unit cell a=4.7783 b=4.7783 c=4.7783 alpha=90.00 beta=90.00 gamma=90.00
Space group Pm-3m (No. 221)
Inequivalent atoms, fractional coordinates:
1 Li 0.0000 0.0000 0.0000
2 Se 0.0000 0.0000 0.5000
3 Br 0.5000 0.5000 0.5000

Values from the calculation:
total magnetic moment	0.00	μB/f.u.
DOS(E_F)	6.94	states/eV/cell

Run b
## LiSe3Br (GGA-PBE)

Data for a geometry-optimized LiSe3Br structure.

Unit cell a=5.2539 b=5.2539 c=5.2539 alpha=90.00 beta=90.00 gamma=90.00
Space group Pm-3m (No. 221)
Inequivalent atoms, fractional coordinates:
1 Li 0.0000 0.0000 0.0000
2 Se 0.0000 0.5000 0.5000
3 Br 0.5000 0.5000 0.5000

Values from the calculation:
total magnetic moment	0.00	μB/f.u.
DOS(E_F)	4.33	states/eV/cell

run a is favored, and the nearest alternative lies 0.056 eV/atom above it.

Run a
## LiSeBr4 (GGA-PBE)

Data for a geometry-optimized LiSeBr4 structure.

Unit cell a=4.2470 b=6.6607 c=6.9682 alpha=98.33 beta=100.22 gamma=94.89
Space group P-1 (No. 2)
Inequivalent atoms, fractional coordinates:
1 Li 0.0000 0.0000 0.0000
2 Se 0.5000 0.5000 0.0000
3 Br 0.1544 0.3689 0.2285
4 Br 0.4125 0.1419 0.7823

Values from the calculation:
total magnetic moment	0.00	μB/f.u.
DOS(E_F)	1.36	states/eV/cell

Run b
## LiSeBr4 (GGA-PBE)

Data for a geometry-optimized LiSeBr4 structure.

Unit cell a=8.9875 b=8.9875 c=8.9875 alpha=90.00 beta=90.00 gamma=90.00
Space group F-43m (No. 216)
Inequivalent atoms, fractional coordinates:
1 Li 0.0000 0.0000 0.0000
2 Se 0.2500 0.2500 0.7500
3 Br 0.1251 0.1251 0.3749

Values from the calculation:
total magnetic moment	1.36	μB/f.u.
DOS(E_F)	31.17	states/eV/cell

Run c
## LiSeBr4 (GGA-PBE)

Data for a geometry-optimized LiSeBr4 structure.

Unit cell a=7.4991 b=16.0308 c=7.2013 alpha=90.00 beta=117.17 gamma=90.00
Space group C2/c (No. 15)
Inequivalent atoms, fractional coordinates:
1 Li 0.0000 0.1833 0.2500
2 Se 0.0000 0.3197 0.7500
3 Br 0.2381 0.2021 0.7385
4 Br 0.2390 0.4286 0.7460

Values from the calculation:
total magnetic moment	0.00	μB/f.u.
DOS(E_F)	7.82	states/eV/cell

run a is favored, and the nearest alternative lies 0.014 eV/atom above it.

Run a
## Li3SeBr (GGA-PBE)

Data for a geometry-optimized Li3SeBr structure.

Unit cell a=4.8378 b=4.8378 c=4.8378 alpha=90.00 beta=90.00 gamma=90.00
Space group Pm-3m (No. 221)
Inequivalent atoms, fractional coordinates:
1 Li 0.0000 0.0000 0.5000
2 Se 0.0000 0.0000 0.0000
3 Br 0.5000 0.5000 0.5000

Values from the calculation:
total magnetic moment	0.00	μB/f.u.
DOS(E_F)	0.00	states/eV/cell

Run b
## Li3SeBr (GGA-PBE)

Data for a geometry-optimized Li3SeBr structure.

Unit cell a=12.8388 b=6.5340 c=6.6652 alpha=90.00 beta=120.52 gamma=90.00
Space group C2/m (No. 12)
Inequivalent atoms, fractional coordinates:
1 Li 0.0875 0.0000 0.2451
2 Li 0.2287 0.2474 0.7701
3 Se 0.1328 0.0000 0.9151
4 Br 0.1713 0.5000 0.4060

Values from the calculation:
total magnetic moment	0.00	μB/f.u.
DOS(E_F)	0.00	states/eV/cell

run b is favored, and the nearest alternative lies 0.029 eV/atom above it.

Run a
## LiSeBr2 (GGA-PBE)

Data for a geometry-optimized LiSeBr2 structure.

Unit cell a=7.6441 b=7.6892 c=5.3882 alpha=90.00 beta=134.45 gamma=90.00
Space group C2/m (No. 12)
Inequivalent atoms, fractional coordinates:
1 Li 0.0000 0.0000 0.0000
2 Se 0.0000 0.5000 0.0000
3 Br 0.2500 0.2500 0.5000

Values from the calculation:
total magnetic moment	0.00	μB/f.u.
DOS(E_F)	2.62	states/eV/cell

Run b
## LiSeBr2 (GGA-PBE)

Data for a geometry-optimized LiSeBr2 structure.

Unit cell a=7.4845 b=7.4845 c=7.4845 alpha=90.00 beta=90.00 gamma=90.00
Space group Fm-3m (No. 225)
Inequivalent atoms, fractional coordinates:
1 Li 0.0000 0.0000 0.0000
2 Se 0.0000 0.0000 0.5000
3 Br 0.2500 0.2500 0.2500

Values from the calculation:
total magnetic moment	2.93	μB/f.u.
DOS(E_F)	9.88	states/eV/cell

run a is favored, and the nearest alternative lies 0.443 eV/atom above it.

Run a
## LiTaSe2Br (GGA-PBE)

Data for a geometry-optimized LiTaSe2Br structure.

Unit cell a=5.0592 b=5.0592 c=5.2413 alpha=90.00 beta=90.00 gamma=90.00
Space group P4/mmm (No. 123)
Inequivalent atoms, fractional coordinates:
1 Li 0.0000 0.0000 0.0000
2 Ta 0.5000 0.5000 0.5000
3 Se 0.0000 0.5000 0.5000
4 Br 0.5000 0.5000 0.0000

Values from the calculation:
total magnetic moment	0.00	μB/f.u.
DOS(E_F)	2.27	states/eV/cell

Run b
## LiTaSe2Br (GGA-PBE)

Data for a geometry-optimized LiTaSe2Br structure.

Unit cell a=4.6698 b=4.6698 c=4.6314 alpha=90.00 beta=90.00 gamma=90.00
Space group P4/mmm (No. 123)
Inequivalent atoms, fractional coordinates:
1 Li 0.0000 0.0000 0.0000
2 Ta 0.5000 0.5000 0.5000
3 Se 0.0000 0.5000 0.0000
4 Br 0.0000 0.0000 0.5000

Values from the calculation:
total magnetic moment	1.63	μB/f.u.
DOS(E_F)	4.45	states/eV/cell

run a is favored, and the nearest alternative lies 0.977 eV/atom above it.

Run a
## LiTeSe2Br (GGA-PBE)

Data for a geometry-optimized LiTeSe2Br structure.

Unit cell a=5.4117 b=5.4117 c=5.6899 alpha=90.00 beta=90.00 gamma=90.00
Space group P4/mmm (No. 123)
Inequivalent atoms, fractional coordinates:
1 Li 0.0000 0.0000 0.0000
2 Te 0.5000 0.5000 0.5000
3 Se 0.0000 0.5000 0.5000
4 Br 0.5000 0.5000 0.0000

Values from the calculation:
total magnetic moment	0.00	μB/f.u.
DOS(E_F)	1.26	states/eV/cell

Run b
## LiTeSe2Br (GGA-PBE)

Data for a geometry-optimized LiTeSe2Br structure.

Unit cell a=5.5332 b=5.5332 c=4.4509 alpha=90.00 beta=90.00 gamma=90.00
Space group P4/mmm (No. 123)
Inequivalent atoms, fractional coordinates:
1 Li 0.0000 0.0000 0.0000
2 Te 0.5000 0.5000 0.0000
3 Se 0.0000 0.5000 0.5000
4 Br 0.0000 0.0000 0.5000

Values from the calculation:
total magnetic moment	0.00	μB/f.u.
DOS(E_F)	2.83	states/eV/cell

run a is favored, and the nearest alternative lies 0.308 eV/atom above it.

Run a
## LiTiSeBr2 (GGA-PBE)

Data for a geometry-optimized LiTiSeBr2 structure.

Unit cell a=5.2802 b=5.2802 c=4.9413 alpha=90.00 beta=90.00 gamma=90.00
Space group P4/mmm (No. 123)
Inequivalent atoms, fractional coordinates:
1 Li 0.0000 0.0000 0.0000
2 Ti 0.5000 0.5000 0.5000
3 Se 0.5000 0.5000 0.0000
4 Br 0.0000 0.5000 0.5000

Values from the calculation:
total magnetic moment	1.00	μB/f.u.
DOS(E_F)	2.93	states/eV/cell

Run b
## LiTiSeBr2 (GGA-PBE)

Data for a geometry-optimized LiTiSeBr2 structure.

Unit cell a=4.7294 b=4.7294 c=5.1022 alpha=90.00 beta=90.00 gamma=90.00
Space group P4/mmm (No. 123)
Inequivalent atoms, fractional coordinates:
1 Li 0.0000 0.0000 0.0000
2 Ti 0.5000 0.5000 0.5000
3 Se 0.0000 0.0000 0.5000
4 Br 0.0000 0.5000 0.0000

Values from the calculation:
total magnetic moment	1.00	μB/f.u.
DOS(E_F)	4.82	states/eV/cell

run a is favored, and the nearest alternative lies 0.694 eV/atom above it.